Record 1
{
  "formula": "Cs2SrOsO6",
  "functional": "PBE",
  "state": "relaxed",
  "cell": [[6.223, 0.000, 0.000], [0.000, 6.659, 0.000], [0.000, -3.329, 5.766]],
  "species": ["Cs", "Cs", "Sr", "Os", "O", "O", "O", "O", "O", "O"],
  "frac_coords": [[0.129, 0.333, 0.667], [0.871, 0.667, 0.333], [0.500, 0.000, 0.000], [0.000, 0.000, 0.000], [0.820, 0.132, 0.263], [0.820, 0.132, 0.868], [0.820, 0.737, 0.868], [0.180, 0.868, 0.132], [0.180, 0.263, 0.132], [0.180, 0.868, 0.737]],
  "mass_density_g_cm3": 4.446,
  "crystal_system": "trigonal",
  "formation_energy_uncorrected_ev_per_atom": -1.583
}


Record 2
{
  "formula": "Cs4Sr3OsO8",
  "functional": "PBE",
  "state": "relaxed",
  "cell": [[-2.759, 6.352, 2.529], [0.602, -2.723, 7.497], [6.119, 0.017, -4.112]],
  "species": ["Cs", "Cs", "Cs", "Cs", "Sr", "Sr", "Sr", "Os", "O", "O", "O", "O", "O", "O", "O", "O"],
  "frac_coords": [[0.500, 0.000, 0.000], [0.500, 0.000, 0.500], [0.000, 0.000, 0.000], [0.000, 0.000, 0.500], [0.500, 0.500, 0.000], [0.500, 0.500, 0.500], [0.000, 0.500, 0.500], [0.000, 0.500, 0.000], [0.185, 0.664, 0.978], [0.185, 0.664, 0.371], [0.274, 0.321, 0.547], [0.793, 0.664, 0.978], [0.207, 0.336, 0.022], [0.726, 0.679, 0.453], [0.815, 0.336, 0.629], [0.815, 0.336, 0.022]],
  "mass_density_g_cm3": 5.796,
  "crystal_system": "trigonal",
  "formation_energy_uncorrected_ev_per_atom": -1.695
}


Record 3
{
  "formula": "CsTbOsO6",
  "functional": "PBE",
  "state": "relaxed",
  "cell": [[5.689, 0.000, 0.000], [2.845, 4.927, 0.000], [0.000, -0.001, 6.516]],
  "species": ["Cs", "Tb", "Os", "O", "O", "O", "O", "O", "O"],
  "frac_coords": [[0.000, 0.000, 0.000], [0.667, 0.667, 0.500], [0.333, 0.333, 0.500], [0.050, 0.367, 0.332], [0.367, 0.050, 0.668], [0.583, 0.367, 0.668], [0.050, 0.583, 0.668], [0.367, 0.583, 0.332], [0.583, 0.050, 0.332]],
  "mass_density_g_cm3": 5.255,
  "crystal_system": "trigonal",
  "formation_energy_uncorrected_ev_per_atom": -1.790
}


Record 4
{
  "formula": "CsTb2OsO8",
  "functional": "PBE",
  "state": "relaxed",
  "cell": [[-1.844, -4.624, -0.081], [4.199, -1.549, -2.184], [3.178, -1.438, 7.030]],
  "species": ["Cs", "Tb", "Tb", "Os", "O", "O", "O", "O", "O", "O", "O", "O"],
  "frac_coords": [[0.000, 0.000, 0.500], [0.498, 0.498, 0.785], [0.502, 0.502, 0.215], [0.000, 0.000, 0.000], [0.183, 0.810, 0.170], [0.718, 0.717, 0.998], [0.810, 0.183, 0.170], [0.817, 0.190, 0.830], [0.282, 0.283, 0.002], [0.190, 0.817, 0.830], [0.608, 0.608, 0.499], [0.392, 0.392, 0.501]],
  "mass_density_g_cm3": 6.564,
  "crystal_system": "monoclinic",
  "formation_energy_uncorrected_ev_per_atom": -1.952
}


Record 5
{
  "formula": "CsTcOsO6",
  "functional": "PBE",
  "state": "relaxed",
  "cell": [[5.380, 0.000, 0.000], [2.690, 4.659, 0.000], [0.000, 0.000, 6.552]],
  "species": ["Cs", "Tc", "Os", "O", "O", "O", "O", "O", "O"],
  "frac_coords": [[0.000, 0.000, 0.000], [0.667, 0.667, 0.500], [0.333, 0.333, 0.500], [0.002, 0.399, 0.340], [0.399, 0.002, 0.660], [0.598, 0.399, 0.660], [0.002, 0.598, 0.660], [0.399, 0.598, 0.340], [0.598, 0.002, 0.340]],
  "mass_density_g_cm3": 5.229,
  "crystal_system": "trigonal",
  "formation_energy_uncorrected_ev_per_atom": -1.307
}


Record 6
{
  "formula": "Cs2TeOsO6",
  "functional": "PBE",
  "state": "relaxed",
  "cell": [[5.538, 0.000, 0.000], [0.000, 5.538, 0.001], [2.769, 2.770, 6.137]],
  "species": ["Cs", "Cs", "Te", "Os", "O", "O", "O", "O", "O", "O"],
  "frac_coords": [[0.750, 0.250, 0.500], [0.250, 0.750, 0.500], [0.000, 0.000, 0.000], [0.500, 0.500, 0.000], [0.151, 0.151, 0.698], [0.742, 0.742, 0.000], [0.258, 0.742, 0.000], [0.742, 0.258, 0.000], [0.258, 0.258, 0.000], [0.849, 0.849, 0.302]],
  "mass_density_g_cm3": 5.997,
  "crystal_system": "tetragonal",
  "formation_energy_uncorrected_ev_per_atom": -1.049
}


Record 7
{
  "formula": "Cs2ThOsO6",
  "functional": "PBE",
  "state": "relaxed",
  "cell": [[-1.049, -0.188, 5.955], [-5.751, -1.549, -1.062], [-1.791, -6.908, 2.540]],
  "species": ["Cs", "Cs", "Th", "Os", "O", "O", "O", "O", "O", "O"],
  "frac_coords": [[0.750, 0.250, 0.500], [0.250, 0.750, 0.500], [0.000, 0.000, 0.000], [0.500, 0.500, 0.000], [0.165, 0.165, 0.670], [0.712, 0.712, 0.000], [0.288, 0.712, 0.000], [0.712, 0.288, 0.000], [0.288, 0.288, 0.000], [0.835, 0.835, 0.330]],
  "mass_density_g_cm3": 5.692,
  "crystal_system": "tetragonal",
  "formation_energy_uncorrected_ev_per_atom": -1.879
}


Record 8
{
  "formula": "CsTiOsO6",
  "functional": "PBE",
  "state": "relaxed",
  "cell": [[-1.350, 3.963, 5.927], [3.438, -4.961, 4.100], [3.439, 3.044, -5.693]],
  "species": ["Cs", "Cs", "Ti", "Ti", "Os", "Os", "O", "O", "O", "O", "O", "O", "O", "O", "O", "O", "O", "O"],
  "frac_coords": [[0.883, 0.633, 0.767], [0.117, 0.367, 0.233], [0.500, 0.000, 0.500], [0.000, 0.000, 0.500], [0.500, 0.500, 0.000], [0.500, 0.000, 0.000], [0.435, 0.685, 0.871], [0.806, 0.056, 0.612], [0.802, 0.059, 0.241], [0.439, 0.682, 0.241], [0.439, 0.059, 0.241], [0.802, 0.682, 0.241], [0.565, 0.315, 0.129], [0.194, 0.944, 0.388], [0.198, 0.941, 0.759], [0.561, 0.318, 0.759], [0.561, 0.941, 0.759], [0.198, 0.318, 0.759]],
  "mass_density_g_cm3": 5.634,
  "crystal_system": "orthorhombic",
  "formation_energy_uncorrected_ev_per_atom": -1.812
}


Record 9
{
  "formula": "Cs2TiOsO6",
  "functional": "PBE",
  "state": "relaxed",
  "cell": [[-3.407, 4.133, 0.726], [-1.446, -2.035, 4.794], [6.871, 2.141, -0.066]],
  "species": ["Cs", "Cs", "Ti", "Os", "O", "O", "O", "O", "O", "O"],
  "frac_coords": [[0.787, 0.288, 0.575], [0.287, 0.788, 0.575], [0.540, 0.541, 0.080], [0.029, 0.029, 0.058], [0.754, 0.754, 0.999], [0.681, 0.682, 0.362], [0.245, 0.246, 0.999], [0.754, 0.246, 0.999], [0.177, 0.177, 0.354], [0.245, 0.754, 0.999]],
  "mass_density_g_cm3": 5.591,
  "crystal_system": "tetragonal",
  "formation_energy_uncorrected_ev_per_atom": -1.752
}


Record 10
{
  "formula": "Cs2Tl3OsO6",
  "functional": "PBE",
  "state": "relaxed",
  "cell": [[-4.762, 4.781, -2.888], [4.909, -3.853, -3.864], [-3.926, -4.552, 1.367]],
  "species": ["Cs", "Cs", "Tl", "Tl", "Tl", "Os", "O", "O", "O", "O", "O", "O"],
  "frac_coords": [[0.323, 0.677, 0.000], [0.677, 0.323, 0.000], [0.135, 0.865, 0.500], [0.865, 0.135, 0.500], [0.500, 0.500, 0.500], [0.000, 0.000, 0.000], [0.926, 0.720, 0.814], [0.838, 0.838, 0.217], [0.074, 0.280, 0.186], [0.720, 0.926, 0.814], [0.162, 0.162, 0.783], [0.280, 0.074, 0.186]],
  "mass_density_g_cm3": 7.513,
  "crystal_system": "monoclinic",
  "formation_energy_uncorrected_ev_per_atom": -1.035
}


Record 11
{
  "formula": "CsTl2OsO6",
  "functional": "PBE",
  "state": "relaxed",
  "cell": [[7.175, 0.888, 0.640], [4.116, 5.944, 0.640], [4.116, 2.490, 5.434]],
  "species": ["Cs", "Tl", "Tl", "Os", "O", "O", "O", "O", "O", "O"],
  "frac_coords": [[0.483, 0.483, 0.483], [0.238, 0.238, 0.238], [0.683, 0.683, 0.683], [0.014, 0.014, 0.014], [0.355, 0.011, 0.854], [0.011, 0.854, 0.355], [0.913, 0.235, 0.716], [0.716, 0.913, 0.235], [0.854, 0.355, 0.011], [0.235, 0.716, 0.913]],
  "mass_density_g_cm3": 7.098,
  "crystal_system": "trigonal",
  "formation_energy_uncorrected_ev_per_atom": -0.969
}


Record 12
{
  "formula": "Cs3Tl2OsO6",
  "functional": "PBE",
  "state": "relaxed",
  "cell": [[-5.269, -1.143, 3.828], [0.951, -3.598, -5.465], [4.797, -2.745, 3.936]],
  "species": ["Cs", "Cs", "Cs", "Tl", "Tl", "Os", "O", "O", "O", "O", "O", "O"],
  "frac_coords": [[0.171, 0.829, 0.500], [0.829, 0.171, 0.500], [0.500, 0.500, 0.500], [0.334, 0.666, 0.000], [0.666, 0.334, 0.000], [0.000, 0.000, 0.000], [0.942, 0.701, 0.831], [0.819, 0.819, 0.178], [0.058, 0.299, 0.169], [0.701, 0.942, 0.831], [0.181, 0.181, 0.822], [0.299, 0.058, 0.169]],
  "mass_density_g_cm3": 7.443,
  "crystal_system": "monoclinic",
  "formation_energy_uncorrected_ev_per_atom": -1.086
}